1.
{"formula": "H12PtC6S4N2", "functional": "PBE", "state": "relaxed", "e_tot_ev_per_cell": -138.05, "mass_density_g_cm3": 2.55, "lattice": [[6.383, 0.000, 0.000], [0.632, 7.168, 0.000], [2.966, 3.021, 6.196]], "species": ["H", "H", "H", "H", "H", "H", "H", "H", "H", "H", "H", "H", "Pt", "C", "C", "C", "C", "C", "C", "S", "S", "S", "S", "N", "N"], "frac_coords": [[0.002, 0.274, 0.399], [0.128, 0.896, 0.655], [0.270, 0.870, 0.407], [0.401, 0.207, 0.493], [0.410, 0.456, 0.281], [0.466, 0.751, 0.785], [0.534, 0.249, 0.215], [0.590, 0.544, 0.719], [0.599, 0.793, 0.507], [0.730, 0.130, 0.593], [0.872, 0.104, 0.345], [0.998, 0.726, 0.601], [0.000, 0.000, 0.000], [0.161, 0.788, 0.580], [0.189, 0.423, 0.788], [0.496, 0.680, 0.674], [0.504, 0.320, 0.326], [0.811, 0.577, 0.212], [0.839, 0.212, 0.420], [0.068, 0.662, 0.189], [0.316, 0.212, 0.916], [0.684, 0.788, 0.084], [0.932, 0.338, 0.811], [0.279, 0.620, 0.684], [0.721, 0.380, 0.316]]}


2.
{"formula": "HfAgW", "functional": "PBE", "state": "relaxed", "delta_e_f_ev_per_atom": 1.1241, "e_above_lowest_polymorph_mev_per_atom": 0.0, "e_tot_ev_per_cell": -89.47, "mass_density_g_cm3": 12.46, "lattice": [[6.305, 0.000, 0.000], [0.000, 6.305, 0.000], [0.000, 0.000, 6.305]], "species": ["Hf", "Hf", "Hf", "Hf", "Ag", "Ag", "Ag", "Ag", "W", "W", "W", "W"], "frac_coords": [[0.000, 0.000, 0.000], [0.000, 0.500, 0.500], [0.500, 0.000, 0.500], [0.500, 0.500, 0.000], [0.250, 0.250, 0.250], [0.250, 0.750, 0.750], [0.750, 0.250, 0.750], [0.750, 0.750, 0.250], [0.000, 0.000, 0.500], [0.000, 0.500, 0.000], [0.500, 0.000, 0.000], [0.500, 0.500, 0.500]]}


3.
{"formula": "CsEr2CuSe4", "functional": "PBE", "state": "relaxed", "e_tot_ev_per_cell": -78.93, "mass_density_g_cm3": 6.46, "lattice": [[2.074, -7.277, 0.000], [2.074, 7.277, 0.000], [0.000, 0.000, 14.427]], "species": ["Cs", "Cs", "Er", "Er", "Er", "Er", "Cu", "Cu", "Se", "Se", "Se", "Se", "Se", "Se", "Se", "Se"], "frac_coords": [[0.109, 0.891, 0.750], [0.891, 0.109, 0.250], [0.367, 0.633, 0.563], [0.367, 0.633, 0.937], [0.633, 0.367, 0.063], [0.633, 0.367, 0.437], [0.166, 0.834, 0.250], [0.834, 0.166, 0.750], [0.000, 0.000, 0.000], [0.000, 0.000, 0.500], [0.257, 0.743, 0.105], [0.257, 0.743, 0.395], [0.423, 0.577, 0.750], [0.577, 0.423, 0.250], [0.743, 0.257, 0.605], [0.743, 0.257, 0.895]]}


4.
{"formula": "GdGa5", "functional": "PBE", "state": "relaxed", "e_tot_ev_per_cell": -20.92, "mass_density_g_cm3": 7.07, "lattice": [[5.565, 0.000, 0.000], [-2.782, 4.819, 0.000], [0.000, 0.000, 4.431]], "species": ["Gd", "Ga", "Ga", "Ga", "Ga", "Ga"], "frac_coords": [[0.000, 0.000, 0.000], [0.000, 0.500, 0.500], [0.333, 0.667, 0.000], [0.500, 0.000, 0.500], [0.500, 0.500, 0.500], [0.667, 0.333, 0.000]]}